(1)
Material: Ta2SiSb
Method: DFT, GGA-PBE
State: relaxed

Calculated values
As for the energy above the most stable polymorph in this dataset: 0.538 eV per atom.

Cell: 4.036 4.036 19.368 Å, 90.00 90.00 90.00°
Space group I-42d (No. 122)
One atom of each set of equivalent atoms:
Ta 0.237 0.250 0.125 x8
Si 0.000 0.000 0.000 x4
Sb 0.000 0.000 0.500 x4

(2)
Material: Ta4SiSb
Method: DFT, GGA-PBE
State: relaxed

Cell: 7.775 7.775 7.775 Å, 90.00 90.00 90.00°
Space group F-43m (No. 216)
One atom of each set of equivalent atoms:
Ta 0.125 0.125 0.125 x16
Si 0.000 0.000 0.500 x4
Sb 0.250 0.250 0.750 x4

(3)
Material: TaSi2Sb
Method: DFT, GGA-PBE
State: relaxed

Cell: 3.959 4.754 8.087 Å, 90.00 90.00 90.00°
Space group Cmm2 (No. 35)
One atom of each set of equivalent atoms:
Ta 0.000 0.000 0.000 x2
Si 0.000 0.000 0.617 x2
Si 0.000 0.500 0.790 x2
Sb 0.000 0.500 0.273 x2

V, respectively: 78.9, 117.5, 76.1 Å³/f.u..
ΔE_f (raw), respectively: 147, 292, 95 kJ/mol of formula units.